Hf2AsH | PBE | optimized geometry

Output
total DFT energy (no corrections): -7.528 eV/atom
space group: I-42d, No. 122
V: 248.2 Å³/cell
E above lowest polymorph: 0 meV per atom
mass density: 11.6 g/cm³

Cell and atoms, written as POSCAR:
```
Hf2AsH
1.0
6.376 0.000 0.000
0.000 6.376 0.000
0.000 0.000 6.104
Hf As H
8 4 4
direct
0.163 0.750 0.125
0.250 0.163 0.875
0.250 0.337 0.375
0.337 0.750 0.625
0.663 0.250 0.625
0.750 0.663 0.375
0.750 0.837 0.875
0.837 0.250 0.125
0.000 0.000 0.500
0.000 0.500 0.750
0.500 0.000 0.250
0.500 0.500 0.000
0.000 0.000 0.000
0.000 0.500 0.250
0.500 0.000 0.750
0.500 0.500 0.500
```

=====

Sr4Cd2Cu | PBE | optimized geometry

Output
total DFT energy (no corrections): -1.866 eV/atom
space group: I4/mmm, No. 139
V: 571.3 Å³/cell
mass density: 3.7 g/cm³

Cell and atoms, written as POSCAR:
```
Sr4Cd2Cu
1.0
5.767 0.000 0.000
0.000 5.767 0.000
0.000 0.000 17.178
Sr Cd Cu
8 4 2
direct
0.000 0.000 0.183
0.000 0.000 0.817
0.000 0.500 0.000
0.000 0.500 0.500
0.500 0.000 0.000
0.500 0.000 0.500
0.500 0.500 0.317
0.500 0.500 0.683
0.000 0.000 0.382
0.000 0.000 0.618
0.500 0.500 0.118
0.500 0.500 0.882
0.000 0.000 0.000
0.500 0.500 0.500
```

=====

Ca2Ga5Co | PBE | optimized geometry

Output
total DFT energy (no corrections): -3.570 eV/atom
space group: P4/mmm, No. 123
V: 167.6 Å³/cell
mass density: 4.8 g/cm³

Cell and atoms, written as POSCAR:
```
Ca2Ga5Co
1.0
6.038 0.000 0.000
0.000 6.038 0.000
0.000 0.000 4.598
Ca Ga Co
2 5 1
direct
0.000 0.500 0.000
0.500 0.000 0.000
0.000 0.000 0.000
0.284 0.284 0.500
0.284 0.716 0.500
0.716 0.284 0.500
0.716 0.716 0.500
0.000 0.000 0.500
```

=====

NdCd4Hg2 | PBE | optimized geometry

Output
total DFT energy (no corrections): -1.463 eV/atom
space group: Cmmm, No. 65
V: 343.1 Å³/cell
E above lowest polymorph: 0 meV per atom
mass density: 9.6 g/cm³

Cell and atoms, written as POSCAR:
```
NdCd4Hg2
1.0
4.640 0.000 0.000
0.000 17.724 0.000
0.000 0.000 4.172
Nd Cd Hg
2 8 4
direct
0.000 0.000 0.000
0.500 0.500 0.000
0.000 0.178 0.500
0.000 0.307 0.000
0.000 0.693 0.000
0.000 0.822 0.500
0.500 0.193 0.000
0.500 0.322 0.500
0.500 0.678 0.500
0.500 0.807 0.000
0.000 0.422 0.500
0.000 0.578 0.500
0.500 0.078 0.500
0.500 0.922 0.500
```

=====

ReHN | PBE | optimized geometry

Output
total DFT energy (no corrections): -7.560 eV/atom
space group: I4mm, No. 107
V: 75.8 Å³/cell
E above lowest polymorph: 305 meV per atom
mass density: 8.8 g/cm³

Cell and atoms, written as POSCAR:
```
ReHN
1.0
2.878 0.000 0.000
0.000 2.878 0.000
0.000 0.000 9.147
Re H N
2 2 2
direct
0.000 0.000 0.000
0.500 0.500 0.500
0.000 0.000 0.822
0.500 0.500 0.322
0.000 0.000 0.510
0.500 0.500 0.010
```

=====

Na4CuTe3S8 | PBE | optimized geometry

Output
total DFT energy (no corrections): -3.645 eV/atom
space group: C2/m, No. 12
V: 383.4 Å³/cell
mass density: 3.4 g/cm³
raw formation energy: -0.41 eV/atom

Cell and atoms, written as POSCAR:
```
Na4CuTe3S8
1.0
7.348 -3.762 0.000
7.348 3.762 0.000
-3.266 0.000 6.934
Na Cu Te S
4 1 3 8
direct
0.000 0.000 0.000
0.000 0.500 0.500
0.500 0.000 0.500
0.500 0.500 0.000
0.000 0.000 0.500
0.000 0.500 0.000
0.500 0.000 0.000
0.500 0.500 0.500
0.175 0.728 0.258
0.212 0.212 0.204
0.272 0.825 0.742
0.296 0.296 0.803
0.704 0.704 0.197
0.728 0.175 0.258
0.788 0.788 0.796
0.825 0.272 0.742
```

=====

ZrBRh3 | PBE | optimized geometry

Output
total DFT energy (no corrections): -7.358 eV/atom
space group: P4mm, No. 99
V: 91.7 Å³/cell
mass density: 7.4 g/cm³

Cell and atoms, written as POSCAR:
```
ZrBRh3
1.0
3.839 0.000 0.000
0.000 3.839 0.000
0.000 0.000 6.226
Zr B Rh
1 1 3
direct
0.000 0.000 0.000
0.500 0.500 0.441
0.000 0.000 0.625
0.000 0.500 0.305
0.500 0.000 0.305
```

=====

Sr2Li2Ga | PBE | optimized geometry

Output
total DFT energy (no corrections): -2.212 eV/atom
space group: C2/c, No. 15
V: 300.7 Å³/cell
E above lowest polymorph: 0 meV per atom
mass density: 2.9 g/cm³

Cell and atoms, written as POSCAR:
```
Sr2Li2Ga
1.0
5.516 -3.557 0.000
5.516 3.557 0.000
-2.596 0.000 7.665
Sr Li Ga
4 4 2
direct
0.081 0.257 0.149
0.257 0.081 0.649
0.743 0.919 0.351
0.919 0.743 0.851
0.312 0.528 0.543
0.472 0.688 0.957
0.528 0.312 0.043
0.688 0.472 0.457
0.288 0.712 0.250
0.712 0.288 0.750
```